# NaAsH2 (GGA-PBE, relaxed)
data_NaAsH2
_chemical_formula_sum 'Na1 As1 H2'
_cell_length_a 3.117
_cell_length_b 3.117
_cell_length_c 6.629
_cell_angle_alpha 76.40
_cell_angle_beta 76.40
_cell_angle_gamma 60.00
_symmetry_space_group_name_H-M 'P 1'
_symmetry_Int_Tables_number 1
loop_
_symmetry_equiv_pos_as_xyz
'x,y,z'
loop_
_atom_site_label
_atom_site_type_symbol
_atom_site_fract_x
_atom_site_fract_y
_atom_site_fract_z
H1 H 0.099 0.099 0.704
H2 H 0.901 0.901 0.296
As1 As 0.000 0.000 0.000
Na1 Na 0.500 0.500 0.500
# Theoretical density (g cm⁻³): 3.09
# Final energy (eV per atom): -2.9578
# Total magnetization (Bohr magnetons per cell): 0.0
# Space-group type: R-3m (166)

=====

# Na3As5H12 (GGA-PBE, relaxed)
data_Na3As5H12
_chemical_formula_sum 'Na12 As20 H48'
_cell_length_a 11.327
_cell_length_b 11.327
_cell_length_c 11.327
_cell_angle_alpha 109.47
_cell_angle_beta 109.47
_cell_angle_gamma 109.47
_symmetry_space_group_name_H-M 'P 1'
_symmetry_Int_Tables_number 1
loop_
_symmetry_equiv_pos_as_xyz
'x,y,z'
loop_
_atom_site_label
_atom_site_type_symbol
_atom_site_fract_x
_atom_site_fract_y
_atom_site_fract_z
As1 As 0.625 0.750 0.875
As2 As 0.500 0.500 0.000
As3 As 0.875 0.625 0.750
As4 As 0.875 0.250 0.625
As5 As 0.000 0.500 0.000
As6 As 0.625 0.875 0.250
As7 As 0.375 0.125 0.750
As8 As 0.500 0.000 0.500
As9 As 0.125 0.750 0.375
As10 As 0.125 0.375 0.250
As11 As 0.000 0.000 0.500
As12 As 0.750 0.625 0.375
As13 As 0.500 0.000 0.000
As14 As 0.750 0.125 0.875
As15 As 0.000 0.500 0.500
As16 As 0.250 0.875 0.125
As17 As 0.500 0.500 0.500
As18 As 0.375 0.250 0.125
As19 As 0.000 0.000 0.000
As20 As 0.250 0.375 0.625
H1 H 0.856 0.304 0.937
H2 H 0.563 0.644 0.696
H3 H 0.580 0.633 0.937
H4 H 0.937 0.133 0.580
H5 H 0.920 0.356 0.553
H6 H 0.947 0.580 0.644
H7 H 0.356 0.437 0.804
H8 H 0.133 0.937 0.080
H9 H 0.856 0.553 0.420
H10 H 0.367 0.420 0.563
H11 H 0.356 0.920 0.053
H12 H 0.144 0.696 0.063
H13 H 0.420 0.367 0.063
H14 H 0.053 0.633 0.196
H15 H 0.133 0.196 0.553
H16 H 0.437 0.356 0.304
H17 H 0.580 0.947 0.144
H18 H 0.644 0.563 0.196
H19 H 0.304 0.447 0.367
H20 H 0.633 0.580 0.437
H21 H 0.304 0.856 0.437
H22 H 0.063 0.196 0.144
H23 H 0.420 0.053 0.856
H24 H 0.553 0.696 0.133
H25 H 0.367 0.947 0.304
H26 H 0.196 0.133 0.053
H27 H 0.080 0.644 0.447
H28 H 0.937 0.804 0.856
H29 H 0.867 0.804 0.447
H30 H 0.947 0.367 0.804
H31 H 0.144 0.447 0.580
H32 H 0.553 0.856 0.920
H33 H 0.804 0.937 0.356
H34 H 0.804 0.867 0.947
H35 H 0.644 0.080 0.947
H36 H 0.696 0.553 0.633
H37 H 0.447 0.144 0.080
H38 H 0.447 0.304 0.867
H39 H 0.437 0.080 0.633
H40 H 0.633 0.053 0.696
H41 H 0.920 0.563 0.867
H42 H 0.080 0.437 0.133
H43 H 0.196 0.063 0.644
H44 H 0.696 0.144 0.563
H45 H 0.063 0.867 0.420
H46 H 0.867 0.063 0.920
H47 H 0.053 0.420 0.356
H48 H 0.563 0.920 0.367
Na1 Na 0.750 0.375 0.125
Na2 Na 0.375 0.750 0.625
Na3 Na 0.375 0.625 0.250
Na4 Na 0.250 0.625 0.875
Na5 Na 0.125 0.875 0.750
Na6 Na 0.625 0.375 0.750
Na7 Na 0.625 0.250 0.375
Na8 Na 0.125 0.250 0.875
Na9 Na 0.750 0.875 0.625
Na10 Na 0.250 0.125 0.375
Na11 Na 0.875 0.125 0.250
Na12 Na 0.875 0.750 0.125
# Theoretical density (g cm⁻³): 2.71
# Final energy (eV per atom): -3.1227
# Total magnetization (Bohr magnetons per cell): 0.0
# Space-group type: Ia-3d (230)

=====

# NaAsH2 (GGA-PBE, relaxed)
data_NaAsH2
_chemical_formula_sum 'Na2 As2 H4'
_cell_length_a 5.260
_cell_length_b 5.260
_cell_length_c 6.267
_cell_angle_alpha 133.72
_cell_angle_beta 106.15
_cell_angle_gamma 81.09
_symmetry_space_group_name_H-M 'P 1'
_symmetry_Int_Tables_number 1
loop_
_symmetry_equiv_pos_as_xyz
'x,y,z'
loop_
_atom_site_label
_atom_site_type_symbol
_atom_site_fract_x
_atom_site_fract_y
_atom_site_fract_z
H1 H 0.745 0.607 0.870
H2 H 0.238 0.875 0.630
H3 H 0.255 0.393 0.130
H4 H 0.762 0.125 0.370
As1 As 0.431 0.681 0.750
As2 As 0.569 0.319 0.250
Na1 Na 0.166 0.916 0.250
Na2 Na 0.834 0.084 0.750
# Theoretical density (g cm⁻³): 2.76
# Final energy (eV per atom): -3.0875
# Total magnetization (Bohr magnetons per cell): 0.0
# Space-group type: C2/c (15)

=====

# Na4AsH (GGA-PBE, relaxed)
data_Na4AsH
_chemical_formula_sum 'Na8 As2 H2'
_cell_length_a 7.046
_cell_length_b 6.834
_cell_length_c 6.205
_cell_angle_alpha 90.00
_cell_angle_beta 100.10
_cell_angle_gamma 90.00
_symmetry_space_group_name_H-M 'P 1'
_symmetry_Int_Tables_number 1
loop_
_symmetry_equiv_pos_as_xyz
'x,y,z'
loop_
_atom_site_label
_atom_site_type_symbol
_atom_site_fract_x
_atom_site_fract_y
_atom_site_fract_z
H1 H 0.500 0.000 0.500
H2 H 0.000 0.500 0.500
Na1 Na 0.711 0.720 0.702
Na2 Na 0.629 0.166 0.800
Na3 Na 0.371 0.834 0.200
Na4 Na 0.289 0.280 0.298
Na5 Na 0.211 0.780 0.702
Na6 Na 0.129 0.334 0.800
Na7 Na 0.871 0.666 0.200
Na8 Na 0.789 0.220 0.298
As1 As 0.500 0.500 0.000
As2 As 0.000 0.000 0.000
# Theoretical density (g cm⁻³): 1.90
# Final energy (eV per atom): -2.4671
# Total magnetization (Bohr magnetons per cell): 0.0
# Space-group type: P2_1/c (14)

=====

# NaAs2H (GGA-PBE, relaxed)
data_NaAs2H
_chemical_formula_sum 'Na2 As4 H2'
_cell_length_a 7.160
_cell_length_b 5.767
_cell_length_c 3.671
_cell_angle_alpha 90.00
_cell_angle_beta 89.99
_cell_angle_gamma 90.00
_symmetry_space_group_name_H-M 'P 1'
_symmetry_Int_Tables_number 1
loop_
_symmetry_equiv_pos_as_xyz
'x,y,z'
loop_
_atom_site_label
_atom_site_type_symbol
_atom_site_fract_x
_atom_site_fract_y
_atom_site_fract_z
As1 As 0.382 0.033 0.750
As2 As 0.618 0.967 0.250
As3 As 0.382 0.467 0.750
As4 As 0.618 0.533 0.250
H1 H 0.889 0.750 0.750
H2 H 0.111 0.250 0.250
Na1 Na 0.936 0.250 0.750
Na2 Na 0.064 0.750 0.250
# Theoretical density (g cm⁻³): 3.81
# Final energy (eV per atom): -3.5090
# Total magnetization (Bohr magnetons per cell): 0.0
# Space-group type: Pmmn (59)

=====

# NaAsH (GGA-PBE, relaxed)
data_NaAsH
_chemical_formula_sum 'Na2 As2 H2'
_cell_length_a 4.931
_cell_length_b 4.297
_cell_length_c 6.254
_cell_angle_alpha 104.21
_cell_angle_beta 64.50
_cell_angle_gamma 97.83
_symmetry_space_group_name_H-M 'P 1'
_symmetry_Int_Tables_number 1
loop_
_symmetry_equiv_pos_as_xyz
'x,y,z'
loop_
_atom_site_label
_atom_site_type_symbol
_atom_site_fract_x
_atom_site_fract_y
_atom_site_fract_z
Na1 Na 0.977 0.681 0.274
Na2 Na 0.023 0.319 0.726
H1 H 0.556 0.985 0.299
H2 H 0.444 0.015 0.701
As1 As 0.521 0.780 0.818
As2 As 0.479 0.220 0.182
# Theoretical density (g cm⁻³): 2.84
# Final energy (eV per atom): -3.2911
# Total magnetization (Bohr magnetons per cell): 0.0
# Space-group type: P-1 (2)

=====

# NaAsH2 (GGA-PBE, relaxed)
data_NaAsH2
_chemical_formula_sum 'Na2 As2 H4'
_cell_length_a 4.407
_cell_length_b 4.407
_cell_length_c 6.691
_cell_angle_alpha 70.77
_cell_angle_beta 70.77
_cell_angle_gamma 90.00
_symmetry_space_group_name_H-M 'P 1'
_symmetry_Int_Tables_number 1
loop_
_symmetry_equiv_pos_as_xyz
'x,y,z'
loop_
_atom_site_label
_atom_site_type_symbol
_atom_site_fract_x
_atom_site_fract_y
_atom_site_fract_z
H1 H 0.375 0.155 0.750
H2 H 0.905 0.625 0.250
H3 H 0.845 0.125 0.250
H4 H 0.875 0.095 0.750
Na1 Na 0.250 0.750 0.500
Na2 Na 0.500 0.500 0.000
As1 As 0.750 0.250 0.500
As2 As 0.000 0.000 0.000
# Theoretical density (g cm⁻³): 2.89
# Final energy (eV per atom): -3.0431
# Total magnetization (Bohr magnetons per cell): 0.0
# Space-group type: I-42d (122)

=====

# NaAs2H (GGA-PBE, relaxed)
data_NaAs2H
_chemical_formula_sum 'Na2 As4 H2'
_cell_length_a 5.818
_cell_length_b 5.818
_cell_length_c 6.277
_cell_angle_alpha 62.39
_cell_angle_beta 62.39
_cell_angle_gamma 90.00
_symmetry_space_group_name_H-M 'P 1'
_symmetry_Int_Tables_number 1
loop_
_symmetry_equiv_pos_as_xyz
'x,y,z'
loop_
_atom_site_label
_atom_site_type_symbol
_atom_site_fract_x
_atom_site_fract_y
_atom_site_fract_z
Na1 Na 0.750 0.250 0.500
Na2 Na 0.000 0.000 0.000
As1 As 0.374 0.625 0.250
As2 As 0.375 0.624 0.750
As3 As 0.376 0.125 0.250
As4 As 0.875 0.626 0.750
H1 H 0.500 0.500 0.000
H2 H 0.250 0.750 0.500
# Theoretical density (g cm⁻³): 3.60
# Final energy (eV per atom): -3.2373
# Total magnetization (Bohr magnetons per cell): 0.0
# Space-group type: I-42d (122)